A plane-wave DFT calculation with PBE was carried out for a relaxed CsSmSc crystal.

```
CsSmSc
1.0
-4.7406 0.5550 3.4501
-5.3376 -1.3511 -2.0902
-2.7989 -4.7997 1.9529
Cs Sm Sc
1 1 1
Cartesian
-3.2193 -1.3990 0.8282
-9.6579 -4.1969 2.4846
0.0000 0.0000 0.0000
```

Density, g cm⁻³: 3.8
DFT total energy, eV/atom: -2.740